Below is Li3MgNi4O8 after structural relaxation, with properties calculated at the PBE with a Hubbard U level.

Cell: 5.8724 5.8724 5.8724 Å, 59.95 59.95 59.95°
Closest atoms and distances in Å follow each position.
Element x y z (fractional)
Li 0.0000 0.5000 0.5000  6 O 2.13-2.15
Li 0.5000 0.0000 0.5000  6 O 2.13-2.15
Li 0.5000 0.5000 0.0000  6 O 2.13-2.15
Mg 0.0000 0.0000 0.0000  6 O 2.08
Ni 0.0000 0.0000 0.5000  6 O 2.00-2.03
Ni 0.0000 0.5000 0.0000  6 O 2.00-2.03
Ni 0.5000 0.0000 0.0000  6 O 2.00-2.03
Ni 0.5000 0.5000 0.5000  6 O 2.08
O 0.2322 0.7501 0.7501  3 Ni 2.00-2.08, 1 Mg 2.08, 2 Li 2.15
O 0.2441 0.2441 0.2441  3 Ni 2.03, 3 Li 2.13
O 0.2499 0.2499 0.7678  3 Ni 2.00-2.08, 1 Mg 2.08, 2 Li 2.15
O 0.2499 0.7678 0.2499  3 Ni 2.00-2.08, 1 Mg 2.08, 2 Li 2.15
O 0.7501 0.2322 0.7501  3 Ni 2.00-2.08, 1 Mg 2.08, 2 Li 2.15
O 0.7501 0.7501 0.2322  3 Ni 2.00-2.08, 1 Mg 2.08, 2 Li 2.15
O 0.7559 0.7559 0.7559  3 Ni 2.03, 3 Li 2.13
O 0.7678 0.2499 0.2499  3 Ni 2.00-2.08, 1 Mg 2.08, 2 Li 2.15

Output
Spin magnetization in μB per formula unit: 5.0
Space group: R-3m
N(E_F) in states/eV per atom: 0.46
Electronic total energy in Ry/atom: -0.3672